Entry 1:
DFT (PBE) results for crystalline Cs2Tl9Cd3 at its relaxed geometry.

Cell and atoms, written as extended XYZ:
```
28
Lattice="8.408 -4.805 0.000 8.408 4.805 0.000 -5.768 0.000 11.613" Properties=species:S:1:pos:R:3 pbc="T T T"
Cs 1.473 0.833 2.799
Cs -1.411 -0.833 8.605
Cs 12.460 0.833 3.008
Cs 9.576 -0.833 8.814
Tl 6.899 3.957 1.094
Tl 7.034 3.957 4.713
Tl 1.401 0.806 6.635
Tl 5.259 1.610 3.023
Tl 1.251 0.811 11.337
Tl 4.285 -0.806 0.828
Tl 4.083 1.178 8.710
Tl 8.674 1.610 2.783
Tl 4.135 -0.811 5.531
Tl 6.914 0.811 6.082
Tl 2.375 -1.610 8.830
Tl 6.967 -1.178 2.903
Tl 6.765 0.806 10.785
Tl 9.798 -0.811 0.275
Tl 5.790 -1.610 8.590
Tl 9.648 -0.806 4.978
Tl 4.015 -3.957 6.900
Tl 4.150 -3.957 10.519
Cd 4.204 2.403 0.000
Cd 4.076 2.632 5.835
Cd 4.089 2.632 11.585
Cd 1.320 -2.403 5.806
Cd 6.960 -2.632 0.028
Cd 6.973 -2.632 5.778
```

Summary:
DFT formation energy: -0.029 eV/atom
DFT total energy: -52.32 eV/cell
SG: C2/c, No. 15


Entry 2:
DFT (PBE) results for crystalline BaZr2Pt at its relaxed geometry.

Cell and atoms, written as extended XYZ:
```
4
Lattice="4.349 0.000 0.000 0.000 4.349 0.000 0.000 0.000 5.263" Properties=species:S:1:pos:R:3 pbc="T T T"
Ba 0.000 0.000 0.000
Zr 0.000 2.174 2.632
Zr 2.174 0.000 2.632
Pt 2.174 2.174 0.000
```

Summary:
DFT formation energy: 0.216 eV/atom
DFT total energy: -24.20 eV/cell
SG: P4/mmm, No. 123


Entry 3:
DFT (PBE) results for crystalline Rb2BaPb2 at its relaxed geometry.

Cell and atoms, written as extended XYZ:
```
10
Lattice="9.140 0.000 0.000 0.000 9.140 0.000 0.000 0.000 6.048" Properties=species:S:1:pos:R:3 pbc="T T T"
Rb 1.567 3.003 0.000
Rb 3.003 7.573 0.000
Rb 6.136 1.567 0.000
Rb 7.573 6.136 0.000
Ba 0.000 0.000 3.024
Ba 4.570 4.570 3.024
Pb 1.041 5.610 3.024
Pb 3.529 1.041 3.024
Pb 5.610 8.099 3.024
Pb 8.099 3.529 3.024
```

Summary:
DFT formation energy: -0.122 eV/atom
DFT total energy: -23.76 eV/cell
SG: P4/mbm, No. 127


Entry 4:
DFT (PBE) results for crystalline CuAgCl2 at its relaxed geometry.

Cell and atoms, written as extended XYZ:
```
4
Lattice="4.021 0.000 0.000 1.839 3.856 0.000 0.543 0.195 6.395" Properties=species:S:1:pos:R:3 pbc="T T T"
Cu 0.000 0.000 0.000
Ag 2.282 0.098 3.198
Cl 2.297 2.832 4.660
Cl 4.105 1.219 1.735
```

Summary:
Energy relative to the elements, uncorrected: -0.3956 eV/atom
DFT total energy: -12.22 eV/cell
SG: P-1, No. 2


Entry 5:
DFT (PBE) results for crystalline PmEu2Ge at its relaxed geometry.

Cell and atoms, written as extended XYZ:
```
4
Lattice="4.756 0.000 0.000 0.000 4.756 0.000 0.000 0.000 5.090" Properties=species:S:1:pos:R:3 pbc="T T T"
Pm 0.000 0.000 0.000
Eu 0.000 2.378 2.545
Eu 2.378 0.000 2.545
Ge 2.378 2.378 0.000
```

Summary:
DFT formation energy: -0.287 eV/atom
DFT total energy: -31.06 eV/cell
SG: P4/mmm, No. 123


Entry 6:
DFT (PBE) results for crystalline TaFe2Re at its relaxed geometry.

Cell and atoms, written as extended XYZ:
```
4
Lattice="1.391 0.803 8.607 -1.391 0.803 8.607 0.000 -1.606 8.607" Properties=species:S:1:pos:R:3 pbc="T T T"
Ta 0.000 0.000 0.000
Fe 0.000 0.000 12.718
Fe 0.000 0.000 19.450
Re 0.000 0.000 6.164
```

Summary:
DFT formation energy: 0.229 eV/atom
DFT total energy: -40.31 eV/cell
SG: R3m, No. 160


Entry 7:
DFT (PBE) results for crystalline ZrSi2Hg at its relaxed geometry.

Cell and atoms, written as extended XYZ:
```
4
Lattice="4.747 -1.810 0.000 4.747 1.810 0.000 -1.531 0.000 4.682" Properties=species:S:1:pos:R:3 pbc="T T T"
Zr 0.000 0.000 0.000
Si 1.213 0.000 3.987
Si 6.749 0.000 0.694
Hg 3.981 0.000 2.341
```

Summary:
Energy relative to the elements, uncorrected: -0.0617 eV/atom
DFT total energy: -19.94 eV/cell
SG: C2/m, No. 12


Entry 8:
DFT (PBE) results for crystalline Ag5BiSe5 at its relaxed geometry.

Cell and atoms, written as extended XYZ:
```
11
Lattice="6.289 -2.788 0.000 6.289 2.788 0.000 -2.497 0.000 7.546" Properties=species:S:1:pos:R:3 pbc="T T T"
Ag 0.000 0.000 0.000
Ag 2.495 0.000 5.064
Ag 3.919 0.000 1.239
Ag 6.163 0.000 6.307
Ag 7.586 0.000 2.482
Bi -1.248 0.000 3.773
Se 1.239 0.000 2.294
Se 0.072 0.000 6.389
Se 5.041 0.000 3.773
Se 10.010 0.000 1.157
Se 8.843 0.000 5.252
```

Summary:
Energy relative to the elements, uncorrected: -0.0678 eV/atom
DFT total energy: -36.31 eV/cell
SG: C2/m, No. 12


Entry 9:
DFT (PBE) results for crystalline TbDyTh14 at its relaxed geometry.

Cell and atoms, written as extended XYZ:
```
16
Lattice="11.582 0.000 0.000 0.000 3.585 6.214 0.000 -3.585 6.214" Properties=species:S:1:pos:R:3 pbc="T T T"
Tb 0.000 0.000 0.000
Dy 0.000 0.000 6.213
Th 0.000 -1.794 9.279
Th 0.000 1.794 9.279
Th 2.898 -1.792 5.157
Th 2.898 1.792 5.157
Th 2.906 0.000 2.050
Th 2.904 0.000 8.264
Th 5.791 0.000 4.126
Th 5.791 -1.792 7.230
Th 5.791 1.792 7.230
Th 5.791 0.000 10.340
Th 8.676 0.000 2.050
Th 8.679 0.000 8.264
Th 8.684 -1.792 5.157
Th 8.684 1.792 5.157
```

Summary:
DFT formation energy: 0.033 eV/atom
DFT total energy: -112.59 eV/cell
SG: Amm2, No. 38


Entry 10:
DFT (PBE) results for crystalline BaBeSe at its relaxed geometry.

Cell and atoms, written as extended XYZ:
```
3
Lattice="0.000 3.529 3.529 3.529 0.000 3.529 3.529 3.529 0.000" Properties=species:S:1:pos:R:3 pbc="T T T"
Ba 0.000 0.000 0.000
Be 1.765 1.765 1.765
Se 3.529 3.529 3.529
```

Summary:
Energy relative to the elements, uncorrected: -0.1358 eV/atom
DFT total energy: -9.54 eV/cell
SG: F-43m, No. 216


Entry 11:
DFT (PBE) results for crystalline NaVAs2Ru at its relaxed geometry.

Cell and atoms, written as extended XYZ:
```
5
Lattice="4.733 0.000 0.000 0.000 4.733 0.000 0.000 0.000 4.458" Properties=species:S:1:pos:R:3 pbc="T T T"
Na 0.000 0.000 0.000
V 2.366 2.366 2.229
As 0.000 2.366 0.000
As 2.366 0.000 0.000
Ru 0.000 0.000 2.229
```

Summary:
DFT formation energy: 1.809 eV/atom
DFT total energy: -19.97 eV/cell
SG: P4/mmm, No. 123


Entry 12:
DFT (PBE) results for crystalline SiAu2Cl at its relaxed geometry.

Cell and atoms, written as extended XYZ:
```
4
Lattice="3.061 0.000 0.000 0.000 4.575 0.000 0.000 0.000 5.630" Properties=species:S:1:pos:R:3 pbc="T T T"
Si 0.000 0.000 0.000
Au 0.000 2.287 2.815
Au 1.530 0.000 2.815
Cl 1.530 2.287 0.000
```

Summary:
Energy relative to the elements, uncorrected: 0.3055 eV/atom
DFT total energy: -12.60 eV/cell
SG: Pmmm, No. 47


Entry 13:
DFT (PBE) results for crystalline ZrTeRh2 at its relaxed geometry.

Cell and atoms, written as extended XYZ:
```
4
Lattice="3.670 0.000 0.000 0.000 3.670 0.000 0.000 0.000 5.571" Properties=species:S:1:pos:R:3 pbc="T T T"
Zr 0.000 0.000 0.000
Te 1.835 1.835 3.669
Rh 0.000 0.000 2.619
Rh 1.835 1.835 1.000
```

Summary:
Energy relative to the elements, uncorrected: -0.4161 eV/atom
DFT total energy: -28.06 eV/cell
SG: P4mm, No. 99


Entry 14:
DFT (PBE) results for crystalline Mg4MnOs at its relaxed geometry.

Cell and atoms, written as extended XYZ:
```
6
Lattice="0.000 3.762 3.762 3.762 0.000 3.762 3.762 3.762 0.000" Properties=species:S:1:pos:R:3 pbc="T T T"
Mg 2.826 2.826 2.826
Mg 4.697 4.697 2.826
Mg 4.697 2.826 4.697
Mg 2.826 4.697 4.697
Mn 0.000 0.000 0.000
Os 5.643 5.643 5.643
```

Summary:
DFT formation energy: 0.582 eV/atom
DFT total energy: -23.29 eV/cell
SG: F-43m, No. 216